Density functional theory data (PBE) for crystalline ScFeB3 at its relaxed geometry.

Summary:
Density of states at the Fermi level = 0.276 states/eV per atom
Excess energy over the best structure of this formula in the dataset = 0.653 eV per atom

Structure (CIF):
```
data_ScFeB3
_chemical_formula_sum 'Sc1 Fe1 B3'
_symmetry_space_group_name_H-M 'P 1'
_symmetry_Int_Tables_number 1
_symmetry_space_group_name_Hall 'P 1'
_cell_length_a 3.7477
_cell_length_b 3.7477
_cell_length_c 3.7477
_cell_angle_alpha 90.00
_cell_angle_beta 90.00
_cell_angle_gamma 90.00
loop_
_atom_site_label
_atom_site_type_symbol
_atom_site_fract_x
_atom_site_fract_y
_atom_site_fract_z
Sc1 Sc 0.0000 0.0000 0.0000
Fe1 Fe 0.5000 0.5000 0.5000
B1 B 0.0000 0.5000 0.5000
B2 B 0.5000 0.0000 0.5000
B3 B 0.5000 0.5000 0.0000
```